Density functional theory data (PBE+U) for a geometry-optimized VAg2GeO5 structure.

E	-105.89	eV for the cell shown

Cell and atoms, written as extended XYZ:
```
18
Lattice="1.4866 -7.2688 0.0000 1.4866 7.2688 0.0000 0.0000 0.0000 11.7603" Properties=species:S:1:pos:R:3 pbc="T T T"
V 1.4866 4.0994 5.8801
V 1.4866 -4.0994 0.0000
Ag 1.4866 5.6605 2.2064
Ag 1.4866 5.1200 8.7796
Ag 1.4866 -5.1200 2.8995
Ag 1.4866 -5.6605 8.0865
Ge 1.4866 0.1473 10.7987
Ge 1.4866 -0.1473 4.9186
O 1.4866 6.7658 11.5788
O 1.4866 3.6842 1.2034
O 1.4866 3.0397 4.5833
O 1.4866 1.8660 11.3072
O 1.4866 0.0723 3.1813
O 1.4866 -0.0723 9.0614
O 1.4866 -1.8660 5.4271
O 1.4866 -3.0397 10.4634
O 1.4866 -3.6842 7.0836
O 1.4866 -6.7658 5.6987
```